{"formula": "CoINF2", "functional": "GGA+U", "state": "relaxed", "cell": [[4.772, 0.000, 0.000], [0.000, 4.772, 0.000], [0.000, 0.000, 4.031]], "species": ["Co", "I", "N", "F", "F"], "fractional_positions": [[0.000, 0.000, 0.000], [0.500, 0.500, 0.500], [0.500, 0.500, 0.000], [0.000, 0.500, 0.500], [0.500, 0.000, 0.500]], "de_polymorph_mev_per_atom": 797, "vol_a3_per_atom": 18.360, "magnetic_moment_mub_per_cell": 2.19}